No. 1
First-principles (PBE) data for a relaxed ThMg6Cd12 crystal, as listed in the Alexandria database.

Geometry as CIF:
```
data_ThMg6Cd12
_chemical_formula_sum 'Th3 Mg18 Cd36'
_cell_length_a 12.7757
_cell_length_b 12.7757
_cell_length_c 9.8746
_cell_angle_alpha 90.00
_cell_angle_beta 90.00
_cell_angle_gamma 120.00
_symmetry_space_group_name_H-M 'R -3 m'
_symmetry_Int_Tables_number 166
_symmetry_space_group_name_Hall '-R 3 2"'
loop_
_atom_site_label
_atom_site_type_symbol
_atom_site_fract_x
_atom_site_fract_y
_atom_site_fract_z
_atom_site_occupancy
Th1 Th 0.0000 0.0000 0.0000 1
Mg1 Mg 0.0627 0.5314 0.2315 1
Cd1 Cd 0.0000 0.3892 0.5000 1
Cd2 Cd 0.0821 0.1641 0.2823 1
```

- Fermi-level density of states: 0.53 states/eV per atom
- Spin magnetization: 0.00 μB/f.u.
- DFT formation energy: 0.060 eV/atom

***

No. 2
First-principles (PBE) data for a relaxed ThMg2Cd crystal, as listed in the Alexandria database.

Geometry as CIF:
```
data_ThMg2Cd
_chemical_formula_sum 'Th4 Mg8 Cd4'
_cell_length_a 3.362
_cell_length_b 23.113
_cell_length_c 5.188
_cell_angle_alpha 90.00
_cell_angle_beta 90.00
_cell_angle_gamma 90.00
_symmetry_space_group_name_H-M 'C m c m'
_symmetry_Int_Tables_number 63
_symmetry_space_group_name_Hall '-C 2c 2'
loop_
_atom_site_label
_atom_site_type_symbol
_atom_site_fract_x
_atom_site_fract_y
_atom_site_fract_z
_atom_site_occupancy
Th1 Th 0.000 0.100 0.250 1
Mg1 Mg 0.000 0.268 0.750 1
Mg2 Mg 0.000 0.469 0.250 1
Cd1 Cd 0.000 0.340 0.250 1
```

- Fermi-level density of states: 0.85 states/eV per atom
- Spin magnetization: 0.00 μB/f.u.
- DFT formation energy: -0.067 eV/atom

***

no.,final energy (hartree per atom)
1,-0.052
2,-0.108